[1]
# La5GaI5, optimized geometry, DFT GGA-PBE
data_La5GaI5
_chemical_formula_sum 'La10 Ga2 I10'
_cell_length_a 14.020
_cell_length_b 6.375
_cell_length_c 9.372
_cell_angle_alpha 90.00
_cell_angle_beta 109.10
_cell_angle_gamma 90.00
_space_group_name_H-M_alt 'C 1 2/m 1'
_space_group_IT_number 12
loop_
_space_group_symop_operation_xyz
'x,y,z'
'-x,-y,-z'
'-x,y,-z'
'x,-y,z'
'x+1/2,y+1/2,z'
'-x+1/2,-y+1/2,-z'
'-x+1/2,y+1/2,-z'
'x+1/2,-y+1/2,z'
loop_
_atom_site_label
_atom_site_type_symbol
_atom_site_fract_x
_atom_site_fract_y
_atom_site_fract_z
La1 La 0.000 0.000 0.000
La2 La 0.154 0.500 0.300
La3 La 0.171 0.500 0.867
Ga1 Ga 0.000 0.500 0.000
I1 I 0.000 0.500 0.500
I2 I 0.147 0.000 0.796
I3 I 0.168 0.000 0.346
# - magnetization (Bohr magnetons per cell) = 0.00
# - energy relative to the elements, uncorrected (eV/atom) = -1.08

***

[2]
# Ba2CoRh, optimized geometry, DFT GGA-PBE
data_Ba2CoRh
_chemical_formula_sum 'Ba8 Co4 Rh4'
_cell_length_a 7.441
_cell_length_b 7.441
_cell_length_c 7.441
_cell_angle_alpha 90.00
_cell_angle_beta 90.00
_cell_angle_gamma 90.00
_space_group_name_H-M_alt 'F -4 3 m'
_space_group_IT_number 216
_space_group_name_Hall 'F -4 2 3'
loop_
_atom_site_label
_atom_site_type_symbol
_atom_site_fract_x
_atom_site_fract_y
_atom_site_fract_z
Ba1 Ba 0.000 0.000 0.000
Ba2 Ba 0.250 0.250 0.250
Co1 Co 0.250 0.250 0.750
Rh1 Rh 0.000 0.000 0.500
# - magnetization (Bohr magnetons per cell) = 7.54
# - energy relative to the lowest polymorph listed for this composition (eV/atom) = 0.615
# - DFT formation energy (eV/atom) = 0.595

***

[3]
# ZnCSeN2, optimized geometry, DFT GGA-PBE
data_ZnCSeN2
_chemical_formula_sum 'Zn1 C1 Se1 N2'
_cell_length_a 3.583
_cell_length_b 3.583
_cell_length_c 7.288
_cell_angle_alpha 90.00
_cell_angle_beta 90.00
_cell_angle_gamma 90.00
_space_group_name_H-M_alt 'P 4/m m m'
_space_group_IT_number 123
_space_group_name_Hall '-P 4 2'
loop_
_atom_site_label
_atom_site_type_symbol
_atom_site_fract_x
_atom_site_fract_y
_atom_site_fract_z
Zn1 Zn 0.000 0.000 0.000
C1 C 0.500 0.500 0.500
Se1 Se 0.000 0.000 0.500
N1 N 0.000 0.500 0.000
# - magnetization (Bohr magnetons per cell) = 1.38
# - energy relative to the elements, uncorrected (eV/atom) = 2.59
# - energy relative to the lowest polymorph listed for this composition (eV/atom) = 0.691

***

[4]
# Ti5GaOs4, optimized geometry, DFT GGA-PBE
data_Ti5GaOs4
_chemical_formula_sum 'Ti5 Ga1 Os4'
_cell_length_a 3.109
_cell_length_b 3.109
_cell_length_c 15.480
_cell_angle_alpha 90.00
_cell_angle_beta 90.00
_cell_angle_gamma 90.00
_space_group_name_H-M_alt 'P 4/m m m'
_space_group_IT_number 123
_space_group_name_Hall '-P 4 2'
loop_
_atom_site_label
_atom_site_type_symbol
_atom_site_fract_x
_atom_site_fract_y
_atom_site_fract_z
Ti1 Ti 0.000 0.000 0.000
Ti2 Ti 0.000 0.000 0.198
Ti3 Ti 0.000 0.000 0.395
Ga1 Ga 0.500 0.500 0.500
Os1 Os 0.500 0.500 0.100
Os2 Os 0.500 0.500 0.299
# - magnetization (Bohr magnetons per cell) = 0.00
# - DFT formation energy (eV/atom) = -0.640